Compound: KLi2Fe
Source: the Alexandria database
Functional: GGA-PBE
Structure: optimized geometry

Values from the calculation:
The spin magnetization is 2.5 Bohr magnetons per cell. The total energy comes out at -0.102 hartree per atom. The calculation puts the volume at 24.24 Å³/atom. The calculation puts the density at 1.86 Mg/m³.

Cell: 4.543 2.810 7.715 Å, 79.95 90.00 90.00°
Last column: magnetic moment on the atom in μB.
Fractional positions:
1 K 0.500 0.818 0.727  -0.01
2 Li 0.000 0.136 0.093  -0.03
3 Li 0.500 0.051 0.284  -0.06
4 Fe 0.000 0.495 0.396  2.82


Compound: KLi2Fe
Source: the Alexandria database
Functional: GGA-PBE
Structure: optimized geometry

Values from the calculation:
The spin magnetization is 2.5 Bohr magnetons per cell. The total energy comes out at -0.097 hartree per atom. The calculation puts the volume at 22.31 Å³/atom. The calculation puts the density at 2.03 Mg/m³.

Cell: 5.957 5.957 2.870 Å, 81.70 81.70 114.62°
Last column: magnetic moment on the atom in μB.
Fractional positions:
1 Li 0.000 0.000 0.000  -0.04
2 Li 0.500 0.500 0.000  -0.04
3 K 0.000 0.500 0.500  -0.03
4 Fe 0.500 0.000 0.500  2.89


Compound: KLiFe3
Source: the Alexandria database
Functional: GGA-PBE
Structure: optimized geometry

Values from the calculation:
The spin magnetization is 8.5 Bohr magnetons per cell. The total energy comes out at -0.158 hartree per atom. The calculation puts the volume at 18.73 Å³/atom. The calculation puts the density at 3.79 Mg/m³.

Cell: 4.541 4.541 4.541 Å, 90.00 90.00 90.00°
Last column: magnetic moment on the atom in μB.
Fractional positions:
1 Fe 0.000 0.500 0.000  3.04
2 Fe 0.000 0.000 0.500  2.90
3 Fe 0.500 0.000 0.000  2.84
4 Li 0.000 0.000 0.000  -0.08
5 K 0.500 0.500 0.500  -0.01


Compound: K4LiFe
Source: the Alexandria database
Functional: GGA-PBE
Structure: optimized geometry

Values from the calculation:
The spin magnetization is 3.2 Bohr magnetons per cell. The total energy comes out at -0.060 hartree per atom. The calculation puts the volume at 51.87 Å³/atom. The calculation puts the density at 1.17 Mg/m³.

Cell: 7.607 7.607 7.607 Å, 60.00 60.00 60.00°
Last column: magnetic moment on the atom in μB.
Fractional positions:
1 K 0.374 0.374 0.374  -0.01
2 K 0.374 0.374 0.877  -0.01
3 K 0.877 0.374 0.374  -0.01
4 K 0.374 0.877 0.374  -0.01
5 Li 0.750 0.750 0.750  0.00
6 Fe 0.000 0.000 0.000  3.23


Compound: KLi2Fe
Source: the Alexandria database
Functional: GGA-PBE
Structure: optimized geometry

Values from the calculation:
The spin magnetization is 2.6 Bohr magnetons per cell. The total energy comes out at -0.101 hartree per atom. The calculation puts the volume at 24.63 Å³/atom. The calculation puts the density at 1.83 Mg/m³.

Cell: 4.859 4.859 7.476 Å, 87.34 87.34 33.98°
Last column: magnetic moment on the atom in μB.
Fractional positions:
1 K 0.247 0.247 0.272  -0.01
2 Li 0.007 0.007 0.901  -0.03
3 Li 0.754 0.754 0.728  -0.05
4 Fe 0.492 0.492 0.600  2.88